Record 1
A relaxed NdYScCd crystal. Source: Alexandria, functional PBE-GGA.

Cell lengths 5.412, 5.412, 5.412 Å; angles 60.00, 60.00, 60.00 degrees
Fractional coordinates of all 4 atoms:
Nd1 0.000 0.000 0.000
Y1 0.500 0.500 0.500
Sc1 0.250 0.250 0.250
Cd1 0.750 0.750 0.750

- Space group: F-43m
- E above lowest polymorph: 0.31 eV/f.u.
- Volume: 28.02 Å³ per atom
- Energy relative to the elements: -0.059 eV/atom



Record 2
A relaxed NdYScCd crystal. Source: Alexandria, functional PBE-GGA.

Cell lengths 3.563, 3.563, 8.815 Å; angles 90.00, 90.00, 90.00 degrees
Fractional coordinates of all 4 atoms:
Nd1 0.000 0.000 0.000
Y1 0.500 0.500 0.703
Sc1 0.500 0.500 0.268
Cd1 0.000 0.000 0.464

- Space group: P4mm
- E above lowest polymorph: 0.00 eV/f.u.
- Volume: 27.97 Å³ per atom
- Energy relative to the elements: -0.135 eV/atom



Record 3
A relaxed Nd3CdSe6 crystal. Source: Alexandria, functional PBE-GGA.

Cell lengths 9.013, 9.013, 7.222 Å; angles 90.00, 90.00, 100.45 degrees
Fractional coordinates of all 20 atoms:
Nd1 0.100 0.900 0.500
Nd2 0.222 0.417 0.600
Nd3 0.417 0.222 0.100
Nd4 0.583 0.778 0.600
Nd5 0.778 0.583 0.100
Nd6 0.900 0.100 0.000
Cd1 0.296 0.704 0.124
Cd2 0.704 0.296 0.624
Se1 0.052 0.591 0.328
Se2 0.126 0.198 0.299
Se3 0.198 0.126 0.799
Se4 0.273 0.727 0.762
Se5 0.409 0.948 0.328
Se6 0.469 0.531 0.302
Se7 0.531 0.469 0.802
Se8 0.591 0.052 0.828
Se9 0.727 0.273 0.262
Se10 0.802 0.874 0.299
Se11 0.874 0.802 0.799
Se12 0.948 0.409 0.828

- Formation energy without anion corrections: -14.614 eV per formula unit
- Space group: Cmc2_1
- Volume: 28.85 Å³ per atom



Record 4
A relaxed NdCdSe2 crystal. Source: Alexandria, functional PBE-GGA.

Cell lengths 4.295, 4.295, 25.912 Å; angles 90.00, 90.00, 120.00 degrees
Fractional coordinates of all 12 atoms:
Nd1 0.000 0.671 0.333
Nd2 0.329 0.329 0.000
Nd3 0.671 0.000 0.667
Cd1 0.000 0.664 0.833
Cd2 0.336 0.336 0.500
Cd3 0.664 0.000 0.167
Se1 0.004 0.667 0.729
Se2 0.333 0.337 0.396
Se3 0.337 0.333 0.604
Se4 0.663 0.996 0.063
Se5 0.667 0.004 0.271
Se6 0.996 0.663 0.937

- Formation energy without anion corrections: -4.241 eV per formula unit
- Space group: P3_221
- E above lowest polymorph: 0.02 eV/f.u.
- Volume: 34.50 Å³ per atom



Record 5
A relaxed NdCdSe2 crystal. Source: Alexandria, functional PBE-GGA.

Cell lengths 8.984, 8.984, 8.984 Å; angles 27.65, 27.65, 27.65 degrees
Fractional coordinates of all 4 atoms:
Nd1 0.000 0.000 0.000
Cd1 0.500 0.500 0.500
Se1 0.396 0.396 0.396
Se2 0.604 0.604 0.604

- Formation energy without anion corrections: -4.259 eV per formula unit
- Space group: R-3m
- E above lowest polymorph: 0.00 eV/f.u.
- Volume: 34.46 Å³ per atom



Record 6
A relaxed Nd5Cd2Si2 crystal. Source: Alexandria, functional PBE-GGA.

Cell lengths 9.215, 9.215, 7.806 Å; angles 90.00, 90.00, 49.94 degrees
Fractional coordinates of all 18 atoms:
Nd1 0.000 0.000 0.000
Nd2 0.063 0.688 0.682
Nd3 0.188 0.563 0.182
Nd4 0.312 0.937 0.682
Nd5 0.437 0.812 0.182
Nd6 0.500 0.500 0.500
Nd7 0.563 0.188 0.818
Nd8 0.688 0.063 0.318
Nd9 0.812 0.437 0.818
Nd10 0.937 0.312 0.318
Cd1 0.223 0.223 0.000
Cd2 0.277 0.277 0.500
Cd3 0.723 0.723 0.500
Cd4 0.777 0.777 0.000
Si1 0.111 0.889 0.387
Si2 0.389 0.611 0.887
Si3 0.611 0.389 0.113
Si4 0.889 0.111 0.613

- Formation energy without anion corrections: -4.141 eV per formula unit
- Space group: Cmce
- Volume: 28.19 Å³ per atom



Record 7
A relaxed Nd4CdSi crystal. Source: Alexandria, functional PBE-GGA.

Cell lengths 10.065, 10.065, 10.065 Å; angles 60.00, 60.00, 60.00 degrees
Fractional coordinates of all 24 atoms:
Nd1 0.186 0.186 0.814
Nd2 0.186 0.814 0.186
Nd3 0.186 0.814 0.814
Nd4 0.393 0.393 0.393
Nd5 0.393 0.393 0.820
Nd6 0.393 0.820 0.393
Nd7 0.562 0.562 0.938
Nd8 0.562 0.938 0.562
Nd9 0.562 0.938 0.938
Nd10 0.814 0.186 0.186
Nd11 0.814 0.186 0.814
Nd12 0.814 0.814 0.186
Nd13 0.820 0.393 0.393
Nd14 0.938 0.562 0.562
Nd15 0.938 0.562 0.938
Nd16 0.938 0.938 0.562
Cd1 0.170 0.170 0.170
Cd2 0.170 0.170 0.491
Cd3 0.170 0.491 0.170
Cd4 0.491 0.170 0.170
Si1 0.185 0.605 0.605
Si2 0.605 0.185 0.605
Si3 0.605 0.605 0.185
Si4 0.605 0.605 0.605

- Formation energy without anion corrections: -1.953 eV per formula unit
- Space group: F-43m
- Volume: 30.04 Å³ per atom



Record 8
A relaxed Nd12CdSi6 crystal. Source: Alexandria, functional PBE-GGA.

Cell lengths 8.933, 8.933, 8.933 Å; angles 109.47, 109.47, 109.47 degrees
Fractional coordinates of all 19 atoms:
Nd1 0.109 0.297 0.812
Nd2 0.188 0.485 0.297
Nd3 0.188 0.891 0.703
Nd4 0.297 0.188 0.485
Nd5 0.297 0.812 0.109
Nd6 0.485 0.297 0.188
Nd7 0.515 0.703 0.812
Nd8 0.703 0.188 0.891
Nd9 0.703 0.812 0.515
Nd10 0.812 0.109 0.297
Nd11 0.812 0.515 0.703
Nd12 0.891 0.703 0.188
Cd1 0.000 0.000 0.000
Si1 0.114 0.500 0.614
Si2 0.386 0.886 0.500
Si3 0.500 0.386 0.886
Si4 0.500 0.614 0.114
Si5 0.614 0.114 0.500
Si6 0.886 0.500 0.386

- Formation energy without anion corrections: -9.164 eV per formula unit
- Space group: Im-3
- Volume: 28.88 Å³ per atom